An optimized crystal structure of LiMoS2F. Source: the Alexandria database, functional PBE with a Hubbard U.

Cell: 5.1727 3.9997 5.1727 Å, 90.00 90.00 90.00°
Each line ends with the local moment (μB).
Fractional coordinates of all 5 atoms:
1 S 0.5000 0.0000 0.0000  -0.52
2 Li 0.5000 0.5000 0.5000  0.01
3 F 0.0000 0.0000 0.0000  -0.06
4 Mo 0.0000 0.5000 0.0000  3.43
5 S 0.0000 0.0000 0.5000  -0.61

Values from the calculation:
The calculation puts the raw total energy at -3.857 eV per atom. The spin magnetization is 2.05 μB/f.u.